Entry from the Alexandria database: an optimized crystal structure of Ca5Pm (PBE-GGA).

a = 16.9349 Å, b = 3.7984 Å, c = 7.7391 Å
α = 90.00°, β = 103.07°, γ = 90.00°
With the nearest neighbours (Å) after each atom.
Space group C2/m (No. 12)
Asymmetric unit:
Ca (0.0000, 0.0000, 0.0000) [2 per cell]  10 Ca 3.80-3.85, 2 Pm 3.87
Ca (0.1633, 0.5000, 0.3367) [4 per cell]  10 Ca 3.79-3.95, 2 Pm 3.80
Ca (0.1645, 0.5000, 0.8271) [4 per cell]  10 Ca 3.79-3.95, 2 Pm 3.82
Pm (0.0000, 0.0000, 0.5000) [2 per cell]  2 Pm 3.80, 10 Ca 3.80-3.87

## Properties
As for the relative energy among the computed polymorphs: 0.072 eV per formula unit.